(1)
Computed, not measured: Al5Ag3 at its PBEsol-relaxed geometry at the meta-GGA SCAN level of DFT.

Structure (POSCAR):
```
Al5Ag3
1.0
4.904 0.065 0.000
-1.530 4.660 0.000
-1.687 -2.362 5.684
Al Ag
5 3
Cartesian
2.452 0.032 4.280
-0.765 2.330 4.280
-0.765 2.330 1.404
2.452 0.032 1.404
1.687 2.362 0.000
1.687 2.362 2.791
0.000 0.000 2.893
0.000 0.000 0.000
```

## Properties
The calculation puts the formation energy at -0.03 eV per atom. For the volume, the calculation gives 16.306 Å³ per atom.



(2)
Computed, not measured: AlAg at its PBEsol-relaxed geometry at the meta-GGA SCAN level of DFT.

Structure (POSCAR):
```
AlAg
1.0
-2.594 -0.814 1.065
2.300 -1.785 0.233
3.052 5.449 11.600
Al Ag
3 3
Cartesian
2.699 2.163 8.226
0.057 0.683 4.663
1.582 3.406 10.461
1.528 2.728 5.807
1.193 -0.525 2.505
3.035 5.418 11.535
```

## Properties
The calculation puts the formation energy at -0.08 eV per atom. For the volume, the calculation gives 16.219 Å³ per atom.



- Number 1 is which compound?
  Al5Ag3



What did the first record say?
Computed, not measured: Al5Ag3 at its PBEsol-relaxed geometry at the meta-GGA SCAN level of DFT.

Structure (POSCAR):
```
Al5Ag3
1.0
4.904 0.065 0.000
-1.530 4.660 0.000
-1.687 -2.362 5.684
Al Ag
5 3
Cartesian
2.452 0.032 4.280
-0.765 2.330 4.280
-0.765 2.330 1.404
2.452 0.032 1.404
1.687 2.362 0.000
1.687 2.362 2.791
0.000 0.000 2.893
0.000 0.000 0.000
```

## Properties
The calculation puts the formation energy at -0.03 eV per atom. For the volume, the calculation gives 16.306 Å³ per atom.



Repeat the first record exactly.
Computed, not measured: Al5Ag3 at its PBEsol-relaxed geometry at the meta-GGA SCAN level of DFT.

Structure (POSCAR):
```
Al5Ag3
1.0
4.904 0.065 0.000
-1.530 4.660 0.000
-1.687 -2.362 5.684
Al Ag
5 3
Cartesian
2.452 0.032 4.280
-0.765 2.330 4.280
-0.765 2.330 1.404
2.452 0.032 1.404
1.687 2.362 0.000
1.687 2.362 2.791
0.000 0.000 2.893
0.000 0.000 0.000
```

## Properties
The calculation puts the formation energy at -0.03 eV per atom. For the volume, the calculation gives 16.306 Å³ per atom.